Material: MnZnPt2
Method: DFT, PBE
State: optimized geometry

Lattice parameters (Å, degrees): 2.8044 2.8044 7.5902 90.00 90.00 90.00
Sites, in units of the cell vectors:
Mn 0.0000 0.0000 0.0000
Zn 0.5000 0.5000 0.7490
Pt 0.0000 0.0000 0.5146
Pt 0.5000 0.5000 0.2376

## Properties
SG: P4mm



Material: NdY12Er7
Method: DFT, PBE
State: optimized geometry

Lattice parameters (Å, degrees): 9.8041 9.8041 9.8041 109.47 109.47 109.47
Sites, in units of the cell vectors:
Nd 0.0000 0.0000 0.0000
Y 0.0013 0.7462 0.2551
Y 0.2538 0.2551 0.5088
Y 0.2538 0.7449 0.9987
Y 0.2551 0.0013 0.7462
Y 0.2551 0.5088 0.2538
Y 0.4912 0.7462 0.7449
Y 0.5088 0.2538 0.2551
Y 0.7449 0.4912 0.7462
Y 0.7449 0.9987 0.2538
Y 0.7462 0.2551 0.0013
Y 0.7462 0.7449 0.4912
Y 0.9987 0.2538 0.7449
Er 0.0000 0.0000 0.5000
Er 0.0000 0.5000 0.0000
Er 0.0000 0.5000 0.5000
Er 0.5000 0.0000 0.0000
Er 0.5000 0.0000 0.5000
Er 0.5000 0.5000 0.0000
Er 0.5000 0.5000 0.5000

## Properties
SG: Im-3
E above lowest polymorph in meV per atom: 408



Going through the records in order, we get formation energy values of -231; 701 meV/atom.